Record 1
PSe3Cl | PBE-GGA | optimized geometry

Cell: 5.171 10.454 6.714 Å, 64.10 95.00 113.54°
Atoms (fractional coordinates):
Se 0.237 0.073 0.038
Se 0.532 0.326 0.483
Se 0.391 0.517 0.183
Se 0.609 0.483 0.817
Se 0.763 0.927 0.962
Se 0.468 0.674 0.517
P 0.778 0.706 0.246
P 0.222 0.294 0.754
Cl 0.788 0.271 0.122
Cl 0.212 0.729 0.878

- space group = P-1 (2)
- raw total energy (eV per atom) = -3.591

Record 2
AcAsIr | PBE-GGA | optimized geometry

Cell: 4.384 4.359 4.359 Å, 120.00 90.00 90.00°
Atoms (fractional coordinates):
As 0.167 0.000 0.000
Ir 0.167 0.333 0.667
Ac 0.667 0.667 0.333

- ΔE_f (meV per atom) = -929
- space group = P-6m2 (187)

Record 3
AlSiAu | PBE-GGA | optimized geometry

Cell: 7.243 4.377 6.632 Å, 90.00 90.00 90.00°
Atoms (fractional coordinates):
Au 0.371 0.250 0.069
Au 0.871 0.250 0.431
Au 0.629 0.750 0.931
Au 0.129 0.750 0.569
Al 0.442 0.750 0.301
Al 0.942 0.750 0.199
Al 0.058 0.250 0.801
Al 0.558 0.250 0.699
Si 0.704 0.750 0.545
Si 0.796 0.250 0.045
Si 0.204 0.750 0.955
Si 0.296 0.250 0.455

- space group = Pnma (62)
- raw total energy (eV per atom) = -4.190

Record 4
FeMoRh | PBE-GGA | optimized geometry

Cell: 6.076 6.076 2.679 Å, 77.28 77.25 25.47°
Atoms (fractional coordinates):
Rh 0.661 0.661 0.339
Mo 0.335 0.335 0.665
Fe 0.004 0.004 0.996

- ΔE_f (meV per atom) = -3
- space group = I4mm (107)

| no. | size of the total moment (μB/atom) |
| --- | --- |
| 1 | 0.00 |
| 2 | 0.00 |
| 3 | 0.00 |
| 4 | 0.69 |